Record 1
This record from Alexandria describes a geometry-optimized Lu2HfHg structure. The functional is PBE-GGA.

abc: 3.3907 3.3907 8.6271
angles: 90.00 90.00 90.00
Space group P4/mmm (No. 123)
One atom of each set of equivalent atoms:
1 Lu 0.0000 0.0000 0.2424 [2 per cell]
2 Hf 0.5000 0.5000 0.5000 [1 per cell]
3 Hg 0.5000 0.5000 0.0000 [1 per cell]

Computed properties:
Energy above the lowest structure with this stoichiometry in meV per atom: 0
Energy relative to the elements in eV/atom: -0.201
E in eV/cell: -20.10

---

Record 2
This record from Alexandria describes a geometry-optimized LuHfHgOs structure. The functional is PBE-GGA.

abc: 6.8375 6.8375 6.8375
angles: 90.00 90.00 90.00
Space group F-43m (No. 216)
One atom of each set of equivalent atoms:
1 Lu 0.0000 0.0000 0.0000 [4 per cell]
2 Hf 0.0000 0.0000 0.5000 [4 per cell]
3 Hg 0.2500 0.2500 0.7500 [4 per cell]
4 Os 0.2500 0.2500 0.2500 [4 per cell]

Computed properties:
Energy relative to the elements in eV/atom: -0.241
E in eV/cell: -107.89

---

Record 3
This record from Alexandria describes a geometry-optimized LuHfHgPd structure. The functional is PBE-GGA.

abc: 6.9515 6.9515 6.9515
angles: 90.00 90.00 90.00
Space group F-43m (No. 216)
One atom of each set of equivalent atoms:
1 Lu 0.0000 0.0000 0.0000 [4 per cell]
2 Hf 0.0000 0.0000 0.5000 [4 per cell]
3 Hg 0.2500 0.2500 0.2500 [4 per cell]
4 Pd 0.2500 0.2500 0.7500 [4 per cell]

Computed properties:
Energy relative to the elements in eV/atom: -0.414
E in eV/cell: -86.50

---

Record 4
This record from Alexandria describes a geometry-optimized LuHfZnHg structure. The functional is PBE-GGA.

abc: 6.9825 6.9825 6.9825
angles: 90.00 90.00 90.00
Space group F-43m (No. 216)
One atom of each set of equivalent atoms:
1 Lu 0.0000 0.0000 0.0000 [4 per cell]
2 Hf 0.0000 0.0000 0.5000 [4 per cell]
3 Zn 0.2500 0.2500 0.7500 [4 per cell]
4 Hg 0.2500 0.2500 0.2500 [4 per cell]

Computed properties:
Energy relative to the elements in eV/atom: -0.156
E in eV/cell: -66.70

---

Q: Among the records above, which one has the lowest energy relative to the elements?
A: LuHfHgPd

---

Q: Which of these has the highest energy relative to the elements?
A: LuHfZnHg

---

Please write out number 2 again, unchanged.
This record from Alexandria describes a geometry-optimized LuHfHgOs structure. The functional is PBE-GGA.

abc: 6.8375 6.8375 6.8375
angles: 90.00 90.00 90.00
Space group F-43m (No. 216)
One atom of each set of equivalent atoms:
1 Lu 0.0000 0.0000 0.0000 [4 per cell]
2 Hf 0.0000 0.0000 0.5000 [4 per cell]
3 Hg 0.2500 0.2500 0.7500 [4 per cell]
4 Os 0.2500 0.2500 0.2500 [4 per cell]

Computed properties:
Energy relative to the elements in eV/atom: -0.241
E in eV/cell: -107.89

---

Q: Which of these has the highest E?
A: Lu2HfHg